[1]
This record from Alexandria describes crystalline PmPrNd5Er2 at its relaxed geometry. The functional is PBE-GGA.

Computed properties:
The calculation puts the total DFT energy (no corrections) at -4.57 eV/atom. Its formation energy from the elements is 148 meV per atom. Its space-group type is No. 36. For the volume, the calculation gives 628.4 Å³/cell.

Lattice parameters (Å, degrees): 10.672 10.672 10.664 90.00 90.00 148.84
Element x y z (fractional)
Pm 0.200 0.800 0.500
Pm 0.800 0.200 0.000
Pr 0.413 0.587 0.063
Pr 0.587 0.413 0.563
Nd 0.016 0.984 0.488
Nd 0.280 0.720 0.200
Nd 0.296 0.704 0.805
Nd 0.391 0.609 0.484
Nd 0.477 0.523 0.770
Nd 0.523 0.477 0.270
Nd 0.609 0.391 0.984
Nd 0.704 0.296 0.305
Nd 0.720 0.280 0.700
Nd 0.984 0.016 0.988
Er 0.113 0.887 0.778
Er 0.117 0.883 0.188
Er 0.883 0.117 0.688
Er 0.887 0.113 0.278

=====

[2]
This record from Alexandria describes crystalline Pm2Pr4NdEr2 at its relaxed geometry. The functional is PBE-GGA.

Computed properties:
The calculation puts the total DFT energy (no corrections) at -4.70 eV/atom. Its formation energy from the elements is 19 meV per atom. Its space-group type is No. 12. For the volume, the calculation gives 309.7 Å³/cell.

Lattice parameters (Å, degrees): 8.175 8.175 8.144 107.51 107.51 36.86
Element x y z (fractional)
Pm 0.112 0.112 0.169
Pm 0.888 0.888 0.831
Pr 0.223 0.223 0.830
Pr 0.445 0.445 0.169
Pr 0.555 0.555 0.831
Pr 0.777 0.777 0.170
Nd 0.000 0.000 0.500
Er 0.332 0.332 0.501
Er 0.668 0.668 0.499

=====

[3]
This record from Alexandria describes crystalline Pm3PrNdEr at its relaxed geometry. The functional is PBE-GGA.

Computed properties:
The calculation puts the total DFT energy (no corrections) at -4.71 eV/atom. Its formation energy from the elements is 18 meV per atom. Its space-group type is No. 11. For the volume, the calculation gives 409.8 Å³/cell.

Lattice parameters (Å, degrees): 8.135 5.161 10.294 90.00 108.56 90.00
Element x y z (fractional)
Pm 0.167 0.250 0.043
Pm 0.168 0.750 0.790
Pm 0.170 0.250 0.542
Pm 0.830 0.750 0.458
Pm 0.832 0.250 0.210
Pm 0.833 0.750 0.957
Pr 0.169 0.750 0.293
Pr 0.831 0.250 0.707
Nd 0.500 0.250 0.873
Nd 0.500 0.750 0.127
Er 0.500 0.250 0.377
Er 0.500 0.750 0.623